a:
This record from Alexandria describes an optimized crystal structure of Mn3SiNi. The functional is PBE-GGA.

```
data_Mn3SiNi
_cell_length_a 6.0650
_cell_length_b 6.0650
_cell_length_c 6.0650
_cell_angle_alpha 90.00
_cell_angle_beta 90.00
_cell_angle_gamma 90.00
_symmetry_space_group_name_H-M 'P 21 3'
_symmetry_Int_Tables_number 198
_symmetry_space_group_name_Hall 'P 2ac 2ab 3'
loop_
_atom_site_label
_atom_site_type_symbol
_atom_site_fract_x
_atom_site_fract_y
_atom_site_fract_z
Mn1 Mn 0.0449 0.1225 0.7960
Si1 Si 0.0634 0.9366 0.4366
Ni1 Ni 0.1862 0.1862 0.1862
```

b:
This record from Alexandria describes an optimized crystal structure of Mn3SiNi. The functional is PBE-GGA.

```
data_Mn3SiNi
_cell_length_a 4.4370
_cell_length_b 4.4370
_cell_length_c 4.4370
_cell_angle_alpha 90.00
_cell_angle_beta 90.00
_cell_angle_gamma 90.00
_symmetry_space_group_name_H-M 'P m -3 m'
_symmetry_Int_Tables_number 221
_symmetry_space_group_name_Hall '-P 4 2 3'
loop_
_atom_site_label
_atom_site_type_symbol
_atom_site_fract_x
_atom_site_fract_y
_atom_site_fract_z
Mn1 Mn 0.0000 0.0000 0.5000
Si1 Si 0.5000 0.5000 0.5000
Ni1 Ni 0.0000 0.0000 0.0000
```

Least stable structure: b

a:
This record from Alexandria describes an optimized crystal structure of ZrMnSi2Ni. The functional is PBE-GGA.

```
data_ZrMnSi2Ni
_cell_length_a 3.8170
_cell_length_b 3.8170
_cell_length_c 9.6492
_cell_angle_alpha 90.00
_cell_angle_beta 90.00
_cell_angle_gamma 90.00
_symmetry_space_group_name_H-M 'I -4 m 2'
_symmetry_Int_Tables_number 119
_symmetry_space_group_name_Hall 'I -4 -2'
loop_
_atom_site_label
_atom_site_type_symbol
_atom_site_fract_x
_atom_site_fract_y
_atom_site_fract_z
Zr1 Zr 0.0000 0.0000 0.0000
Mn1 Mn 0.0000 0.5000 0.2500
Si1 Si 0.0000 0.0000 0.3775
Ni1 Ni 0.0000 0.5000 0.7500
```

b:
This record from Alexandria describes an optimized crystal structure of ZrMnSi2Ni. The functional is PBE-GGA.

```
data_ZrMnSi2Ni
_cell_length_a 4.9483
_cell_length_b 4.9483
_cell_length_c 4.5576
_cell_angle_alpha 90.00
_cell_angle_beta 90.00
_cell_angle_gamma 90.00
_symmetry_space_group_name_H-M 'P 4/m m m'
_symmetry_Int_Tables_number 123
_symmetry_space_group_name_Hall '-P 4 2'
loop_
_atom_site_label
_atom_site_type_symbol
_atom_site_fract_x
_atom_site_fract_y
_atom_site_fract_z
Zr1 Zr 0.0000 0.0000 0.0000
Mn1 Mn 0.5000 0.5000 0.5000
Si1 Si 0.0000 0.5000 0.0000
Ni1 Ni 0.0000 0.0000 0.5000
```

Least stable structure: b

a:
This record from Alexandria describes an optimized crystal structure of MnNi6Sn. The functional is PBE-GGA.

```
data_MnNi6Sn
_cell_length_a 5.1957
_cell_length_b 5.1957
_cell_length_c 4.1923
_cell_angle_alpha 90.00
_cell_angle_beta 90.00
_cell_angle_gamma 120.00
_symmetry_space_group_name_H-M 'P -6 m 2'
_symmetry_Int_Tables_number 187
_symmetry_space_group_name_Hall 'P -6 2'
loop_
_atom_site_label
_atom_site_type_symbol
_atom_site_fract_x
_atom_site_fract_y
_atom_site_fract_z
Mn1 Mn 0.0000 0.0000 0.0000
Ni1 Ni 0.0157 0.5079 0.0000
Ni2 Ni 0.1687 0.3375 0.5000
Sn1 Sn 0.6667 0.3333 0.5000
```

b:
This record from Alexandria describes an optimized crystal structure of MnNi6Sn. The functional is PBE-GGA.

```
data_MnNi6Sn
_cell_length_a 7.2794
_cell_length_b 10.3466
_cell_length_c 10.3453
_cell_angle_alpha 90.00
_cell_angle_beta 90.00
_cell_angle_gamma 90.00
_symmetry_space_group_name_H-M 'C m m m'
_symmetry_Int_Tables_number 65
_symmetry_space_group_name_Hall '-C 2 2'
loop_
_atom_site_label
_atom_site_type_symbol
_atom_site_fract_x
_atom_site_fract_y
_atom_site_fract_z
Mn1 Mn 0.0000 0.0000 0.2450
Mn2 Mn 0.0000 0.2507 0.0000
Ni1 Ni 0.0000 0.0000 0.0000
Ni2 Ni 0.0000 0.0000 0.5000
Ni3 Ni 0.0000 0.2459 0.2423
Ni4 Ni 0.0000 0.5000 0.0000
Ni5 Ni 0.0000 0.5000 0.5000
Ni6 Ni 0.2433 0.1226 0.3701
Ni7 Ni 0.2440 0.1276 0.1204
Sn1 Sn 0.0000 0.2518 0.5000
Sn2 Sn 0.0000 0.5000 0.2458
```

Least stable structure: a

a:
This record from Alexandria describes an optimized crystal structure of MnNiSn3. The functional is PBE-GGA.

```
data_MnNiSn3
_cell_length_a 4.9618
_cell_length_b 4.9618
_cell_length_c 4.9618
_cell_angle_alpha 90.00
_cell_angle_beta 90.00
_cell_angle_gamma 90.00
_symmetry_space_group_name_H-M 'P m -3 m'
_symmetry_Int_Tables_number 221
_symmetry_space_group_name_Hall '-P 4 2 3'
loop_
_atom_site_label
_atom_site_type_symbol
_atom_site_fract_x
_atom_site_fract_y
_atom_site_fract_z
Mn1 Mn 0.0000 0.0000 0.0000
Ni1 Ni 0.5000 0.5000 0.5000
Sn1 Sn 0.0000 0.5000 0.5000
```

b:
This record from Alexandria describes an optimized crystal structure of MnNiSn3. The functional is PBE-GGA.

```
data_MnNiSn3
_cell_length_a 4.8332
_cell_length_b 4.8332
_cell_length_c 4.8332
_cell_angle_alpha 90.00
_cell_angle_beta 90.00
_cell_angle_gamma 90.00
_symmetry_space_group_name_H-M 'P m -3 m'
_symmetry_Int_Tables_number 221
_symmetry_space_group_name_Hall '-P 4 2 3'
loop_
_atom_site_label
_atom_site_type_symbol
_atom_site_fract_x
_atom_site_fract_y
_atom_site_fract_z
Mn1 Mn 0.0000 0.0000 0.0000
Ni1 Ni 0.5000 0.5000 0.5000
Sn1 Sn 0.0000 0.0000 0.5000
```

Least stable structure: b